[1]
Material: Ac2NdSmY
Method: DFT, GGA-PBE
State: optimized geometry

Computed properties:
- SG: Pmma, No. 51
- Total DFT energy (no corrections): -4.566 eV/atom
- Fermi-level density of states: 1.332 states/eV per atom

```
data_Ac2NdSmY
_symmetry_space_group_name_H-M 'P 1'
_symmetry_Int_Tables_number 1
_cell_length_a 6.849
_cell_length_b 8.979
_cell_length_c 6.438
_cell_angle_alpha 90.02
_cell_angle_beta 90.00
_cell_angle_gamma 90.00
loop_
_symmetry_equiv_pos_as_xyz
'x,y,z'
loop_
_atom_site_label
_atom_site_type_symbol
_atom_site_fract_x
_atom_site_fract_y
_atom_site_fract_z
_atom_site_occupancy
Ac1 Ac 0.297 0.702 0.250 1
Sm1 Sm 0.000 0.000 0.000 1
Y1 Y 0.169 0.500 0.750 1
Ac2 Ac 0.297 0.298 0.250 1
Ac3 Ac 0.703 0.298 0.750 1
Nd1 Nd 0.582 0.000 0.250 1
Y2 Y 0.831 0.500 0.250 1
Nd2 Nd 0.418 0.000 0.750 1
Sm2 Sm 0.000 0.000 0.500 1
Ac4 Ac 0.703 0.702 0.750 1
```

***

[2]
Material: AcNdSmY3
Method: DFT, GGA-PBE
State: optimized geometry

Computed properties:
- SG: P2_1/m, No. 11
- Total DFT energy (no corrections): -5.464 eV/atom
- Fermi-level density of states: 1.430 states/eV per atom

```
data_AcNdSmY3
_symmetry_space_group_name_H-M 'P 1'
_symmetry_Int_Tables_number 1
_cell_length_a 3.680
_cell_length_b 11.013
_cell_length_c 10.971
_cell_angle_alpha 109.60
_cell_angle_beta 90.00
_cell_angle_gamma 90.00
loop_
_symmetry_equiv_pos_as_xyz
'x,y,z'
loop_
_atom_site_label
_atom_site_type_symbol
_atom_site_fract_x
_atom_site_fract_y
_atom_site_fract_z
_atom_site_occupancy
Y1 Y 0.250 0.619 0.455 1
Y2 Y 0.750 0.381 0.545 1
Y3 Y 0.250 0.130 0.960 1
Nd1 Nd 0.750 0.869 0.372 1
Y4 Y 0.750 0.870 0.040 1
Ac1 Ac 0.250 0.129 0.290 1
Ac2 Ac 0.750 0.871 0.710 1
Sm1 Sm 0.250 0.622 0.123 1
Y5 Y 0.750 0.382 0.206 1
Nd2 Nd 0.250 0.131 0.628 1
Sm2 Sm 0.750 0.378 0.877 1
Y6 Y 0.250 0.618 0.794 1
```

***

[3]
Material: AcNdSm5Y2
Method: DFT, GGA-PBE
State: optimized geometry

Computed properties:
- SG: Cmc2_1, No. 36
- Total DFT energy (no corrections): -4.903 eV/atom
- Fermi-level density of states: 1.265 states/eV per atom

```
data_AcNdSm5Y2
_symmetry_space_group_name_H-M 'P 1'
_symmetry_Int_Tables_number 1
_cell_length_a 5.627
_cell_length_b 12.462
_cell_length_c 9.465
_cell_angle_alpha 90.00
_cell_angle_beta 90.00
_cell_angle_gamma 103.05
loop_
_symmetry_equiv_pos_as_xyz
'x,y,z'
loop_
_atom_site_label
_atom_site_type_symbol
_atom_site_fract_x
_atom_site_fract_y
_atom_site_fract_z
_atom_site_occupancy
Sm1 Sm 0.691 0.382 0.228 1
Sm2 Sm 0.603 0.205 0.530 1
Ac1 Ac 0.398 0.796 0.429 1
Y1 Y 0.831 0.661 0.176 1
Sm3 Sm 0.476 0.952 0.749 1
Sm4 Sm 0.309 0.618 0.728 1
Ac2 Ac 0.602 0.204 0.929 1
Y2 Y 0.169 0.339 0.676 1
Y3 Y 0.112 0.224 0.282 1
Nd1 Nd 0.239 0.478 0.038 1
Sm5 Sm 0.993 0.985 0.026 1
Sm6 Sm 0.007 0.015 0.526 1
Y4 Y 0.888 0.776 0.782 1
Nd2 Nd 0.761 0.522 0.538 1
Sm7 Sm 0.397 0.795 0.030 1
Sm8 Sm 0.259 0.517 0.365 1
Sm9 Sm 0.524 0.048 0.249 1
Sm10 Sm 0.741 0.483 0.865 1
```

***

[4]
Material: AcNd2SmY
Method: DFT, GGA-PBE
State: optimized geometry

Computed properties:
- SG: P2_1/m, No. 11
- Total DFT energy (no corrections): -4.926 eV/atom
- Fermi-level density of states: 1.728 states/eV per atom

```
data_AcNd2SmY
_symmetry_space_group_name_H-M 'P 1'
_symmetry_Int_Tables_number 1
_cell_length_a 5.957
_cell_length_b 6.522
_cell_length_c 9.962
_cell_angle_alpha 70.78
_cell_angle_beta 90.00
_cell_angle_gamma 90.00
loop_
_symmetry_equiv_pos_as_xyz
'x,y,z'
loop_
_atom_site_label
_atom_site_type_symbol
_atom_site_fract_x
_atom_site_fract_y
_atom_site_fract_z
_atom_site_occupancy
Y1 Y 0.750 0.161 0.001 1
Nd1 Nd 0.750 0.960 0.405 1
Y2 Y 0.250 0.839 0.999 1
Ac1 Ac 0.250 0.433 0.800 1
Nd2 Nd 0.750 0.772 0.799 1
Ac2 Ac 0.750 0.567 0.200 1
Sm1 Sm 0.750 0.359 0.599 1
Nd3 Nd 0.250 0.228 0.201 1
Sm2 Sm 0.250 0.641 0.401 1
Nd4 Nd 0.250 0.040 0.595 1
```

***

[5]
Material: AcNd2Sm6Y3
Method: DFT, GGA-PBE
State: optimized geometry

Computed properties:
- SG: C2/m, No. 12
- Total DFT energy (no corrections): -5.087 eV/atom
- Fermi-level density of states: 1.456 states/eV per atom

```
data_AcNd2Sm6Y3
_symmetry_space_group_name_H-M 'P 1'
_symmetry_Int_Tables_number 1
_cell_length_a 6.338
_cell_length_b 6.338
_cell_length_c 12.104
_cell_angle_alpha 95.01
_cell_angle_beta 95.01
_cell_angle_gamma 120.01
loop_
_symmetry_equiv_pos_as_xyz
'x,y,z'
loop_
_atom_site_label
_atom_site_type_symbol
_atom_site_fract_x
_atom_site_fract_y
_atom_site_fract_z
_atom_site_occupancy
Sm1 Sm 0.751 0.751 0.256 1
Sm2 Sm 0.249 0.249 0.744 1
Y1 Y 0.500 0.500 0.500 1
Sm3 Sm 0.914 0.578 0.744 1
Y2 Y 0.167 0.833 0.500 1
Ac1 Ac 0.000 0.000 0.000 1
Nd1 Nd 0.667 0.333 0.000 1
Sm4 Sm 0.578 0.914 0.744 1
Nd2 Nd 0.333 0.667 0.000 1
Y3 Y 0.833 0.167 0.500 1
Sm5 Sm 0.086 0.422 0.256 1
Sm6 Sm 0.422 0.086 0.256 1
```

***

[6]
Material: AcNdSm3Y
Method: DFT, GGA-PBE
State: optimized geometry

Computed properties:
- SG: P2_1/m, No. 11
- Total DFT energy (no corrections): -4.881 eV/atom
- Fermi-level density of states: 1.667 states/eV per atom

```
data_AcNdSm3Y
_symmetry_space_group_name_H-M 'P 1'
_symmetry_Int_Tables_number 1
_cell_length_a 5.223
_cell_length_b 8.271
_cell_length_c 11.038
_cell_angle_alpha 116.58
_cell_angle_beta 90.00
_cell_angle_gamma 90.00
loop_
_symmetry_equiv_pos_as_xyz
'x,y,z'
loop_
_atom_site_label
_atom_site_type_symbol
_atom_site_fract_x
_atom_site_fract_y
_atom_site_fract_z
_atom_site_occupancy
Y1 Y 0.250 0.129 0.626 1
Nd1 Nd 0.750 0.380 0.875 1
Sm1 Sm 0.750 0.378 0.208 1
Y2 Y 0.750 0.871 0.374 1
Sm2 Sm 0.250 0.622 0.792 1
Ac1 Ac 0.750 0.875 0.708 1
Nd2 Nd 0.250 0.620 0.125 1
Sm3 Sm 0.750 0.376 0.546 1
Ac2 Ac 0.250 0.125 0.292 1
Sm4 Sm 0.750 0.870 0.040 1
Sm5 Sm 0.250 0.624 0.454 1
Sm6 Sm 0.250 0.130 0.960 1
```

***

[7]
Material: AcNd2Sm5Y
Method: DFT, GGA-PBE
State: optimized geometry

Computed properties:
- SG: I4/mcm, No. 140
- Total DFT energy (no corrections): -4.603 eV/atom
- Fermi-level density of states: 1.189 states/eV per atom

```
data_AcNd2Sm5Y
_symmetry_space_group_name_H-M 'P 1'
_symmetry_Int_Tables_number 1
_cell_length_a 8.991
_cell_length_b 8.991
_cell_length_c 10.158
_cell_angle_alpha 116.27
_cell_angle_beta 116.27
_cell_angle_gamma 90.00
loop_
_symmetry_equiv_pos_as_xyz
'x,y,z'
loop_
_atom_site_label
_atom_site_type_symbol
_atom_site_fract_x
_atom_site_fract_y
_atom_site_fract_z
_atom_site_occupancy
Ac1 Ac 0.750 0.750 0.500 1
Sm1 Sm 0.161 0.073 0.734 1
Sm2 Sm 0.073 0.573 0.734 1
Y1 Y 0.250 0.750 0.500 1
Sm3 Sm 0.000 0.000 0.000 1
Sm4 Sm 0.427 0.339 0.266 1
Y2 Y 0.750 0.250 0.500 1
Sm5 Sm 0.573 0.661 0.734 1
Sm6 Sm 0.661 0.161 0.734 1
Nd1 Nd 0.617 0.117 0.000 1
Sm7 Sm 0.839 0.927 0.266 1
Nd2 Nd 0.383 0.883 0.000 1
Sm8 Sm 0.927 0.427 0.266 1
Sm9 Sm 0.500 0.500 0.000 1
Sm10 Sm 0.339 0.839 0.266 1
Ac2 Ac 0.250 0.250 0.500 1
Nd3 Nd 0.117 0.383 0.000 1
Nd4 Nd 0.883 0.617 0.000 1
```

***

[8]
Material: AcNdSm2Y2
Method: DFT, GGA-PBE
State: optimized geometry

Computed properties:
- SG: Pnnm, No. 58
- Total DFT energy (no corrections): -4.922 eV/atom
- Fermi-level density of states: 1.864 states/eV per atom

```
data_AcNdSm2Y2
_symmetry_space_group_name_H-M 'P 1'
_symmetry_Int_Tables_number 1
_cell_length_a 3.504
_cell_length_b 6.711
_cell_length_c 18.358
_cell_angle_alpha 90.00
_cell_angle_beta 90.00
_cell_angle_gamma 90.00
loop_
_symmetry_equiv_pos_as_xyz
'x,y,z'
loop_
_atom_site_label
_atom_site_type_symbol
_atom_site_fract_x
_atom_site_fract_y
_atom_site_fract_z
_atom_site_occupancy
Y1 Y 0.000 0.208 0.186 1
Ac1 Ac 0.000 0.000 0.000 1
Y2 Y 0.500 0.708 0.314 1
Y3 Y 0.000 0.792 0.814 1
Nd1 Nd 0.500 0.500 0.000 1
Sm1 Sm 0.500 0.797 0.652 1
Ac2 Ac 0.500 0.500 0.500 1
Sm2 Sm 0.500 0.203 0.348 1
Sm3 Sm 0.000 0.703 0.152 1
Sm4 Sm 0.000 0.297 0.848 1
Nd2 Nd 0.000 0.000 0.500 1
Y4 Y 0.500 0.292 0.686 1
```

***

[9]
Material: AcNd2SmY5
Method: DFT, GGA-PBE
State: optimized geometry

Computed properties:
- SG: I4/mcm, No. 140
- Total DFT energy (no corrections): -5.380 eV/atom
- Fermi-level density of states: 1.076 states/eV per atom

```
data_AcNd2SmY5
_symmetry_space_group_name_H-M 'P 1'
_symmetry_Int_Tables_number 1
_cell_length_a 8.859
_cell_length_b 8.859
_cell_length_c 10.115
_cell_angle_alpha 115.97
_cell_angle_beta 115.97
_cell_angle_gamma 90.00
loop_
_symmetry_equiv_pos_as_xyz
'x,y,z'
loop_
_atom_site_label
_atom_site_type_symbol
_atom_site_fract_x
_atom_site_fract_y
_atom_site_fract_z
_atom_site_occupancy
Y1 Y 0.345 0.845 0.266 1
Y2 Y 0.000 0.000 0.000 1
Y3 Y 0.921 0.421 0.266 1
Nd1 Nd 0.615 0.115 0.000 1
Ac1 Ac 0.250 0.750 0.500 1
Sm1 Sm 0.250 0.250 0.500 1
Nd2 Nd 0.385 0.885 0.000 1
Y4 Y 0.421 0.345 0.266 1
Sm2 Sm 0.750 0.750 0.500 1
Y5 Y 0.500 0.500 0.000 1
Nd3 Nd 0.115 0.385 0.000 1
Y6 Y 0.155 0.079 0.734 1
Ac2 Ac 0.750 0.250 0.500 1
Y7 Y 0.845 0.921 0.266 1
Y8 Y 0.655 0.155 0.734 1
Y9 Y 0.079 0.579 0.734 1
Nd4 Nd 0.885 0.615 0.000 1
Y10 Y 0.579 0.655 0.734 1
```